## CsHoBr3 (PBE-GGA)

Data for a relaxed CsHoBr3 crystal.

Unit cell a=5.644 b=5.644 c=5.644 alpha=90.00 beta=90.00 gamma=90.00
Sites, in units of the cell vectors:
Cs (0.000, 0.000, 0.000)
Ho (0.500, 0.500, 0.500)
Br (0.000, 0.500, 0.500)
Br (0.500, 0.000, 0.500)
Br (0.500, 0.500, 0.000)

formation energy (no corrections)	-1.59	eV per atom
total energy	-3.681	eV/atom
density	4965	kg/m3
total moment	0.00	μB per formula unit
symmetry	Pm-3m
volume	35.96	A^3/atom